Entry 1:
# AcPm2Sm5 GGA-PBE optimized geometry
# excess energy over the best structure of this formula in the dataset	0	meV per atom
data_AcPm2Sm5
_cell_length_a 7.360
_cell_length_b 14.734
_cell_length_c 5.196
_cell_angle_alpha 90.00
_cell_angle_beta 90.00
_cell_angle_gamma 90.00
_symmetry_space_group_name_H-M 'P b a m'
_symmetry_Int_Tables_number 55
loop_
_symmetry_equiv_pos_as_xyz
'x,y,z'
'-x,-y,-z'
'-x,-y,z'
'x,y,-z'
'x+1/2,-y+1/2,-z'
'-x+1/2,y+1/2,z'
'-x+1/2,y+1/2,-z'
'x+1/2,-y+1/2,z'
loop_
_atom_site_label
_atom_site_fract_x
_atom_site_fract_y
_atom_site_fract_z
Ac1 0.000 0.000 0.000
Pm1 0.247 0.373 0.500
Sm1 0.000 0.500 0.000
Sm2 0.001 0.747 0.000
Sm3 0.248 0.628 0.500

Entry 2:
# Ac2PmSm8 GGA-PBE optimized geometry
# excess energy over the best structure of this formula in the dataset	0	meV per atom
data_Ac2PmSm8
_cell_length_a 18.803
_cell_length_b 5.243
_cell_length_c 8.274
_cell_angle_alpha 90.00
_cell_angle_beta 105.42
_cell_angle_gamma 90.00
_symmetry_space_group_name_H-M 'C 1 2/m 1'
_symmetry_Int_Tables_number 12
loop_
_symmetry_equiv_pos_as_xyz
'x,y,z'
'-x,-y,-z'
'-x,y,-z'
'x,-y,z'
'x+1/2,y+1/2,z'
'-x+1/2,-y+1/2,-z'
'-x+1/2,y+1/2,-z'
'x+1/2,-y+1/2,z'
loop_
_atom_site_label
_atom_site_fract_x
_atom_site_fract_y
_atom_site_fract_z
Ac1 0.226 0.000 0.141
Pm1 0.000 0.500 0.500
Sm1 0.042 0.000 0.227
Sm2 0.088 0.500 0.951
Sm3 0.133 0.000 0.672
Sm4 0.179 0.500 0.407

Entry 3:
# AcPm4Sm GGA-PBE optimized geometry
# excess energy over the best structure of this formula in the dataset	0	meV per atom
data_AcPm4Sm
_cell_length_a 3.724
_cell_length_b 5.190
_cell_length_c 11.141
_cell_angle_alpha 90.00
_cell_angle_beta 90.00
_cell_angle_gamma 90.00
_symmetry_space_group_name_H-M 'P m m m'
_symmetry_Int_Tables_number 47
loop_
_symmetry_equiv_pos_as_xyz
'x,y,z'
'-x,-y,-z'
'-x,-y,z'
'x,y,-z'
'x,-y,-z'
'-x,y,z'
'-x,y,-z'
'x,-y,z'
loop_
_atom_site_label
_atom_site_fract_x
_atom_site_fract_y
_atom_site_fract_z
Ac1 0.000 0.000 0.000
Pm1 0.000 0.000 0.337
Pm2 0.500 0.500 0.175
Sm1 0.500 0.500 0.500

Entry 4:
# Ac8PmSm4 GGA-PBE optimized geometry
# total energy	-3.9501	eV per atom
data_Ac8PmSm4
_cell_length_a 11.8452
_cell_length_b 11.8452
_cell_length_c 14.4784
_cell_angle_alpha 90.00
_cell_angle_beta 90.00
_cell_angle_gamma 120.00
_symmetry_space_group_name_H-M 'R -3 m'
_symmetry_Int_Tables_number 166
_symmetry_space_group_name_Hall '-R 3 2"'
loop_
_atom_site_label
_atom_site_fract_x
_atom_site_fract_y
_atom_site_fract_z
Ac1 0.0000 0.0000 0.2402
Ac2 0.0125 0.5063 0.7465
Pm1 0.0000 0.0000 0.5000
Sm1 0.0000 0.0000 0.0000
Sm2 0.0000 0.5000 0.0000

Entry 5:
# AcPm4Sm8 GGA-PBE optimized geometry
# total energy	-4.6594	eV per atom
data_AcPm4Sm8
_cell_length_a 11.575
_cell_length_b 5.184
_cell_length_c 15.104
_cell_angle_alpha 90.00
_cell_angle_beta 94.39
_cell_angle_gamma 90.00
_symmetry_space_group_name_H-M 'C 1 2/m 1'
_symmetry_Int_Tables_number 12
loop_
_symmetry_equiv_pos_as_xyz
'x,y,z'
'-x,-y,-z'
'-x,y,-z'
'x,-y,z'
'x+1/2,y+1/2,z'
'-x+1/2,-y+1/2,-z'
'-x+1/2,y+1/2,-z'
'x+1/2,-y+1/2,z'
loop_
_atom_site_label
_atom_site_fract_x
_atom_site_fract_y
_atom_site_fract_z
Ac1 0.000 0.000 0.000
Pm1 0.120 0.500 0.158
Pm2 0.154 0.000 0.538
Sm1 0.039 0.500 0.386
Sm2 0.075 0.000 0.765
Sm3 0.192 0.500 0.919
Sm4 0.232 0.000 0.310

Entry 6:
# AcPm6Sm6 GGA-PBE optimized geometry
# total energy	-4.4527	eV per atom
data_AcPm6Sm6
_cell_length_a 6.7836
_cell_length_b 6.7836
_cell_length_c 11.6791
_cell_angle_alpha 90.00
_cell_angle_beta 90.00
_cell_angle_gamma 120.00
_symmetry_space_group_name_H-M 'P 6/m m m'
_symmetry_Int_Tables_number 191
_symmetry_space_group_name_Hall '-P 6 2'
loop_
_atom_site_label
_atom_site_fract_x
_atom_site_fract_y
_atom_site_fract_z
Ac1 0.0000 0.0000 0.0000
Pm1 0.0000 0.0000 0.3563
Pm2 0.3333 0.6667 0.0000
Pm3 0.3333 0.6667 0.5000
Sm1 0.0000 0.5000 0.2510

| no. | DOS(E_F) (states/eV per cell) |
| --- | --- |
| 1 | 25.0 |
| 2 | 36.4 |
| 3 | 8.6 |
| 4 | 60.5 |
| 5 | 37.7 |
| 6 | 24.9 |